VASP calculation (PBE-GGA) on a relaxed structure of GeCSe2.

Unit cell a=6.2415 b=6.2415 c=6.2415 alpha=121.22 beta=121.22 gamma=87.90
Last column: nearest neighbours and their distance in Å.
Positions (direct):
Ge (0.0000, 0.0000, 0.0000)  4 Se 2.80
Ge (0.7500, 0.2500, 0.5000)  4 Se 2.80
C (0.2500, 0.7500, 0.5000)  4 Se 2.15
C (0.5000, 0.5000, 0.0000)  4 Se 2.15
Se (0.2099, 0.6250, 0.0849)  2 C 2.15
Se (0.3750, 0.4599, 0.5849)  2 C 2.15
Se (0.5401, 0.1250, 0.9151)  2 C 2.15
Se (0.8750, 0.7901, 0.4151)  2 C 2.15

Output
Fermi-level density of states, states/eV/f.u.: 1.0
Raw formation energy, meV per atom: 1017.7
Space group: No. 122
Magnetization, μB/f.u.: 0.000